A plane-wave DFT calculation with PBE-GGA was carried out for a relaxed PaAlNO crystal.

Energy relative to the lowest polymorph listed for this composition (meV per atom): 450

Geometry as CIF:
```
data_PaAlNO
_chemical_formula_sum 'Pa4 Al4 N4 O4'
_space_group_name_H-M_alt 'C 1 m 1'
_space_group_IT_number 8
_cell_length_a 6.285
_cell_length_b 6.285
_cell_length_c 5.250
_cell_angle_alpha 90.00
_cell_angle_beta 90.05
_cell_angle_gamma 90.00
loop_
_space_group_symop_operation_xyz
'x,y,z'
'x,-y,z'
'x+1/2,y+1/2,z'
'x+1/2,-y+1/2,z'
loop_
_atom_site_label
_atom_site_fract_x
_atom_site_fract_y
_atom_site_fract_z
Pa1 0.000 0.250 0.000
Al1 0.248 0.000 0.531
Al2 0.250 0.500 0.470
N1 0.250 0.000 0.179
N2 0.250 0.500 0.822
O1 0.001 0.249 0.501
```

A plane-wave DFT calculation with PBE-GGA was carried out for a relaxed SmPd2O4 crystal.

Uncorrected energy (eV per cell): -183.28

Geometry as CIF:
```
data_SmPd2O4
_chemical_formula_sum 'Sm4 Pd8 O16'
_space_group_name_H-M_alt 'C 1 2/c 1'
_space_group_IT_number 15
_cell_length_a 8.201
_cell_length_b 10.153
_cell_length_c 5.805
_cell_angle_alpha 90.00
_cell_angle_beta 134.79
_cell_angle_gamma 90.00
loop_
_space_group_symop_operation_xyz
'x,y,z'
'-x,-y,-z'
'-x,y,-z+1/2'
'x,-y,z+1/2'
'x+1/2,y+1/2,z'
'-x+1/2,-y+1/2,-z'
'-x+1/2,y+1/2,-z+1/2'
'x+1/2,-y+1/2,z+1/2'
loop_
_atom_site_label
_atom_site_fract_x
_atom_site_fract_y
_atom_site_fract_z
Sm1 0.000 0.125 0.250
Pd1 0.000 0.500 0.000
Pd2 0.250 0.250 0.000
O1 0.150 0.323 0.594
O2 0.194 0.073 0.792
```

A plane-wave DFT calculation with PBE-GGA was carried out for a relaxed GdP2Pt8 crystal.

Uncorrected energy (eV per cell): -142.13

Geometry as CIF:
```
data_GdP2Pt8
_chemical_formula_sum 'Gd2 P4 Pt16'
_space_group_name_H-M_alt 'C 1 2/m 1'
_space_group_IT_number 12
_cell_length_a 12.013
_cell_length_b 4.058
_cell_length_c 9.419
_cell_angle_alpha 90.00
_cell_angle_beta 127.39
_cell_angle_gamma 90.00
loop_
_space_group_symop_operation_xyz
'x,y,z'
'-x,-y,-z'
'-x,y,-z'
'x,-y,z'
'x+1/2,y+1/2,z'
'-x+1/2,-y+1/2,-z'
'-x+1/2,y+1/2,-z'
'x+1/2,-y+1/2,z'
loop_
_atom_site_label
_atom_site_fract_x
_atom_site_fract_y
_atom_site_fract_z
Gd1 0.000 0.000 0.000
P1 0.058 0.500 0.790
Pt1 0.025 0.000 0.369
Pt2 0.166 0.500 0.652
Pt3 0.177 0.500 0.344
Pt4 0.224 0.500 0.086
```

A plane-wave DFT calculation with PBE-GGA was carried out for a relaxed PrHoBe crystal.

Energy relative to the lowest polymorph listed for this composition (meV per atom): 0

Geometry as CIF:
```
data_PrHoBe
_chemical_formula_sum 'Pr4 Ho4 Be4'
_space_group_name_H-M_alt 'F -4 3 m'
_space_group_IT_number 216
_space_group_name_Hall 'F -4 2 3'
_cell_length_a 6.824
_cell_length_b 6.824
_cell_length_c 6.824
_cell_angle_alpha 90.00
_cell_angle_beta 90.00
_cell_angle_gamma 90.00
loop_
_atom_site_label
_atom_site_fract_x
_atom_site_fract_y
_atom_site_fract_z
Pr1 0.000 0.000 0.000
Ho1 0.250 0.250 0.750
Be1 0.000 0.000 0.500
```

A plane-wave DFT calculation with PBE-GGA was carried out for a relaxed PrNdSn crystal.

Energy relative to the lowest polymorph listed for this composition (meV per atom): 0

Geometry as CIF:
```
data_PrNdSn
_chemical_formula_sum 'Pr4 Nd4 Sn4'
_space_group_name_H-M_alt 'F -4 3 m'
_space_group_IT_number 216
_space_group_name_Hall 'F -4 2 3'
_cell_length_a 7.535
_cell_length_b 7.535
_cell_length_c 7.535
_cell_angle_alpha 90.00
_cell_angle_beta 90.00
_cell_angle_gamma 90.00
loop_
_atom_site_label
_atom_site_fract_x
_atom_site_fract_y
_atom_site_fract_z
Pr1 0.000 0.000 0.000
Nd1 0.000 0.000 0.500
Sn1 0.250 0.250 0.750
```

A plane-wave DFT calculation with PBE-GGA was carried out for a relaxed SmCuPt crystal.

Formation energy from the elements (meV per atom): -555
Energy relative to the lowest polymorph listed for this composition (meV per atom): 0

Geometry as CIF:
```
data_SmCuPt
_chemical_formula_sum 'Sm4 Cu4 Pt4'
_space_group_name_H-M_alt 'F -4 3 m'
_space_group_IT_number 216
_space_group_name_Hall 'F -4 2 3'
_cell_length_a 6.514
_cell_length_b 6.514
_cell_length_c 6.514
_cell_angle_alpha 90.00
_cell_angle_beta 90.00
_cell_angle_gamma 90.00
loop_
_atom_site_label
_atom_site_fract_x
_atom_site_fract_y
_atom_site_fract_z
Sm1 0.000 0.000 0.000
Cu1 0.000 0.000 0.500
Pt1 0.250 0.250 0.750
```

| no. | M_tot (μB/f.u.) |
| --- | --- |
| 1 | 0.0 |
| 2 | 0.0 |
| 3 | 0.0 |
| 4 | 0.0 |
| 5 | 0.0 |
| 6 | 0.0 |